Computed, not measured: NpUNb2 after structural relaxation at the PBE level of DFT.

Cell lengths 11.409, 11.409, 11.409 Å; angles 14.47, 14.47, 14.47 degrees
Sites, in units of the cell vectors:
Np (0.000, 0.000, 0.000)
U (0.500, 0.500, 0.500)
Nb (0.249, 0.249, 0.249)
Nb (0.751, 0.751, 0.751)

Values from the calculation:
The volume comes out at 81 Å³/f.u. The value obtained for the formation energy is 0.408 eV/atom. For the energy, the calculation gives -42.7 eV/cell. For the total magnetization, the calculation gives 3.3 μB per formula unit.



Computed, not measured: Ho3Ag3IrO8 after structural relaxation at the PBE level of DFT.

Cell lengths 6.724, 6.724, 6.966 Å; angles 118.94, 118.94, 60.01 degrees
Sites, in units of the cell vectors:
Ho (0.000, 0.000, 0.000)
Ho (0.000, 0.500, 0.000)
Ho (0.500, 0.000, 0.000)
Ag (0.000, 0.500, 0.500)
Ag (0.500, 0.000, 0.500)
Ag (0.500, 0.500, 0.500)
Ir (0.500, 0.500, 0.000)
O (0.228, 0.228, 0.183)
O (0.260, 0.715, 0.189)
O (0.285, 0.285, 0.811)
O (0.285, 0.740, 0.811)
O (0.715, 0.260, 0.189)
O (0.715, 0.715, 0.189)
O (0.740, 0.285, 0.811)
O (0.772, 0.772, 0.817)

Values from the calculation:
The volume comes out at 226 Å³/f.u. Its uncorrected formation energy is -1.80 eV per atom. For the energy, the calculation gives -97.8 eV/cell. For the total magnetization, the calculation gives 1.1 μB per formula unit.



Computed, not measured: BaTlHg17 after structural relaxation at the PBE level of DFT.

Cell lengths 8.407, 8.407, 8.407 Å; angles 76.12, 76.12, 76.12 degrees
Sites, in units of the cell vectors:
Ba (0.000, 0.000, 0.000)
Tl (0.672, 0.672, 0.672)
Hg (0.018, 0.326, 0.631)
Hg (0.018, 0.631, 0.326)
Hg (0.095, 0.718, 0.718)
Hg (0.211, 0.211, 0.211)
Hg (0.326, 0.018, 0.631)
Hg (0.326, 0.631, 0.018)
Hg (0.381, 0.381, 0.381)
Hg (0.393, 0.393, 0.746)
Hg (0.393, 0.746, 0.393)
Hg (0.426, 0.982, 0.982)
Hg (0.631, 0.018, 0.326)
Hg (0.631, 0.326, 0.018)
Hg (0.718, 0.095, 0.718)
Hg (0.718, 0.718, 0.095)
Hg (0.746, 0.393, 0.393)
Hg (0.982, 0.426, 0.982)
Hg (0.982, 0.982, 0.426)

Values from the calculation:
The volume comes out at 549 Å³/f.u. The value obtained for the formation energy is -0.098 eV/atom. For the energy, the calculation gives -11.3 eV/cell. For the total magnetization, the calculation gives 0.0 μB per formula unit.